[1]
# PBE TlAsRhN2, relaxed
data_TlAsRhN2
_cell_length_a 4.139
_cell_length_b 4.139
_cell_length_c 5.588
_cell_angle_alpha 90.00
_cell_angle_beta 90.00
_cell_angle_gamma 90.00
_symmetry_space_group_name_H-M 'P 1'
_symmetry_Int_Tables_number 1
loop_
_symmetry_equiv_pos_as_xyz
'x,y,z'
loop_
_atom_site_label
_atom_site_type_symbol
_atom_site_fract_x
_atom_site_fract_y
_atom_site_fract_z
Tl1 Tl 0.000 0.000 0.000
As1 As 0.500 0.500 0.500
Rh1 Rh 0.000 0.000 0.500
N1 N 0.000 0.500 0.000
N2 N 0.500 0.000 0.000
# Space-group type: P4/mmm (123)
# Formation energy without anion corrections: 1055 kJ/mol of formula units
# Crystal system: tetragonal



[2]
# PBE AsRuN, relaxed
data_AsRuN
_cell_length_a 2.941
_cell_length_b 2.941
_cell_length_c 13.724
_cell_angle_alpha 95.64
_cell_angle_beta 95.64
_cell_angle_gamma 90.00
_symmetry_space_group_name_H-M 'P 1'
_symmetry_Int_Tables_number 1
loop_
_symmetry_equiv_pos_as_xyz
'x,y,z'
loop_
_atom_site_label
_atom_site_type_symbol
_atom_site_fract_x
_atom_site_fract_y
_atom_site_fract_z
As1 As 0.167 0.167 0.320
As2 As 0.833 0.833 0.680
Ru1 Ru 0.281 0.281 0.568
Ru2 Ru 0.719 0.719 0.432
N1 N 0.480 0.480 0.959
N2 N 0.520 0.520 0.041
# Space-group type: C2/m (12)
# Formation energy without anion corrections: 4 kJ/mol of formula units
# Crystal system: monoclinic



[3]
# PBE As2RuN, relaxed
data_As2RuN
_cell_length_a 6.000
_cell_length_b 6.000
_cell_length_c 6.000
_cell_angle_alpha 127.45
_cell_angle_beta 127.45
_cell_angle_gamma 77.52
_symmetry_space_group_name_H-M 'P 1'
_symmetry_Int_Tables_number 1
loop_
_symmetry_equiv_pos_as_xyz
'x,y,z'
loop_
_atom_site_label
_atom_site_type_symbol
_atom_site_fract_x
_atom_site_fract_y
_atom_site_fract_z
As1 As 0.082 0.625 0.957
As2 As 0.375 0.332 0.457
As3 As 0.668 0.125 0.043
As4 As 0.875 0.918 0.543
Ru1 Ru 0.250 0.750 0.500
Ru2 Ru 0.500 0.500 0.000
N1 N 0.000 0.000 0.000
N2 N 0.750 0.250 0.500
# Space-group type: I-42d (122)
# Formation energy without anion corrections: 183 kJ/mol of formula units
# Crystal system: tetragonal



[4]
# PBE AsRuSN2, relaxed
data_AsRuSN2
_cell_length_a 3.571
_cell_length_b 3.571
_cell_length_c 6.239
_cell_angle_alpha 90.00
_cell_angle_beta 90.00
_cell_angle_gamma 90.00
_symmetry_space_group_name_H-M 'P 1'
_symmetry_Int_Tables_number 1
loop_
_symmetry_equiv_pos_as_xyz
'x,y,z'
loop_
_atom_site_label
_atom_site_type_symbol
_atom_site_fract_x
_atom_site_fract_y
_atom_site_fract_z
As1 As 0.000 0.000 0.000
Ru1 Ru 0.500 0.500 0.500
S1 S 0.000 0.000 0.500
N1 N 0.000 0.500 0.000
N2 N 0.500 0.000 0.000
# Space-group type: P4/mmm (123)
# Excess energy over the best structure of this formula in the dataset: 619 meV per atom
# Formation energy without anion corrections: 749 kJ/mol of formula units
# Crystal system: tetragonal



[5]
# PBE AsRuS2N, relaxed
data_AsRuS2N
_cell_length_a 4.771
_cell_length_b 4.771
_cell_length_c 3.520
_cell_angle_alpha 90.00
_cell_angle_beta 90.00
_cell_angle_gamma 90.00
_symmetry_space_group_name_H-M 'P 1'
_symmetry_Int_Tables_number 1
loop_
_symmetry_equiv_pos_as_xyz
'x,y,z'
loop_
_atom_site_label
_atom_site_type_symbol
_atom_site_fract_x
_atom_site_fract_y
_atom_site_fract_z
As1 As 0.000 0.000 0.000
Ru1 Ru 0.500 0.500 0.500
S1 S 0.000 0.500 0.000
S2 S 0.500 0.000 0.000
N1 N 0.000 0.000 0.500
# Space-group type: P4/mmm (123)
# Excess energy over the best structure of this formula in the dataset: 749 meV per atom
# Formation energy without anion corrections: 628 kJ/mol of formula units
# Crystal system: tetragonal



[6]
# PBE AsRuS2N, relaxed
data_AsRuS2N
_cell_length_a 4.796
_cell_length_b 4.796
_cell_length_c 3.649
_cell_angle_alpha 90.00
_cell_angle_beta 90.00
_cell_angle_gamma 90.00
_symmetry_space_group_name_H-M 'P 1'
_symmetry_Int_Tables_number 1
loop_
_symmetry_equiv_pos_as_xyz
'x,y,z'
loop_
_atom_site_label
_atom_site_type_symbol
_atom_site_fract_x
_atom_site_fract_y
_atom_site_fract_z
As1 As 0.000 0.000 0.000
Ru1 Ru 0.500 0.500 0.500
S1 S 0.000 0.500 0.500
S2 S 0.500 0.000 0.500
N1 N 0.500 0.500 0.000
# Space-group type: P4/mmm (123)
# Excess energy over the best structure of this formula in the dataset: 0 meV per atom
# Formation energy without anion corrections: 267 kJ/mol of formula units
# Crystal system: tetragonal



Number 1: volume 19.150 Å³ per atom. Number 2: volume 19.589 Å³ per atom. Number 3: volume 16.508 Å³ per atom. Number 4: volume 15.915 Å³ per atom. Number 5: volume 16.024 Å³ per atom. Number 6: volume 16.789 Å³ per atom.